BaCdCo2As PBE-GGA optimized geometry; energy relative to the elements = 181.3 kJ/mol of atoms
1.0
4.893 0.000 0.000
0.000 4.893 0.000
0.000 0.000 6.076
Ba Cd Co As
1 1 2 1
Cartesian
0.000 0.000 0.000
0.000 0.000 3.038
0.000 2.447 0.000
2.447 0.000 0.000
2.447 2.447 3.038



La5Tb3Ho PBE-GGA optimized geometry; energy relative to the elements = 28.7 kJ/mol of atoms; energy above the most stable polymorph in this dataset = 148.9 meV per atom
1.0
-4.729 4.729 7.180
4.729 -4.729 7.180
4.729 4.729 -7.180
La Tb Ho
10 6 2
Cartesian
0.000 0.000 0.000
6.636 1.906 -1.940
1.906 2.823 -1.940
6.636 1.906 1.940
1.906 2.823 1.940
0.000 0.000 7.180
2.823 1.906 5.240
-1.906 2.823 5.240
2.823 1.906 9.121
-1.906 2.823 9.121
3.697 1.032 0.000
0.000 0.000 3.590
3.697 -1.032 7.180
1.032 5.761 0.000
0.000 0.000 10.771
1.032 3.697 7.180
4.729 0.000 3.590
0.000 4.729 3.590



K2LiPrI6 PBE-GGA optimized geometry; raw formation energy = -1.34 eV per atom; energy above the most stable polymorph in this dataset = 54.5 meV per atom
1.0
0.000 6.072 6.072
6.072 0.000 6.072
6.072 6.072 0.000
K Li Pr I
2 1 1 6
Cartesian
3.036 3.036 3.036
9.108 9.108 9.108
0.000 0.000 0.000
6.072 6.072 6.072
6.072 6.072 2.957
6.072 2.957 6.072
9.187 6.072 6.072
2.957 6.072 6.072
6.072 9.187 6.072
6.072 6.072 9.187



Sb2IrPb PBE-GGA optimized geometry; raw formation energy = 0.13 eV per atom
1.0
-1.656 2.657 5.710
1.656 -2.657 5.710
1.656 2.657 -5.710
Sb Ir Pb
2 1 1
Cartesian
0.000 0.000 2.154
0.000 0.000 9.267
1.656 0.000 0.000
0.000 2.657 0.000



Ni5PtSe12 PBE-GGA optimized geometry; raw formation energy = -0.27 eV per atom
1.0
3.126 -5.423 0.000
3.126 5.423 0.000
-1.976 0.000 10.525
Ni Pt Se
5 1 12
Cartesian
0.000 0.000 0.000
2.138 3.615 5.262
3.126 1.809 0.000
3.126 -1.809 0.000
2.138 -3.615 5.262
2.138 0.000 5.262
1.043 1.803 1.213
-0.037 0.000 3.995
1.049 1.885 6.527
0.113 0.000 9.317
1.043 -1.803 1.213
3.228 1.885 3.998
1.049 -1.885 6.527
3.234 1.803 9.312
4.164 0.000 1.208
3.228 -1.885 3.998
4.314 0.000 6.530
3.234 -1.803 9.312



Nd4MgTl3 PBE-GGA optimized geometry; energy relative to the elements = -31.1 kJ/mol of atoms; energy above the most stable polymorph in this dataset = 0.0 meV per atom
1.0
-2.739 2.739 7.913
2.739 -2.739 7.913
2.739 2.739 -7.913
Nd Mg Tl
4 1 3
Cartesian
2.739 0.000 1.973
2.739 0.000 5.940
0.000 2.739 1.973
0.000 2.739 5.940
0.000 0.000 0.000
0.000 0.000 3.904
0.000 0.000 7.913
0.000 0.000 11.922



BaEuI2 PBE-GGA optimized geometry; raw formation energy = -1.12 eV per atom
1.0
2.281 1.317 11.139
-2.281 1.317 11.139
0.000 -2.634 11.139
Ba Eu I
1 1 2
Cartesian
0.000 0.000 0.000
0.000 0.000 16.709
0.000 0.000 3.632
0.000 0.000 29.785



Th2TePd PBE-GGA optimized geometry; raw formation energy = -0.84 eV per atom; energy above the most stable polymorph in this dataset = 29.2 meV per atom
1.0
2.089 1.206 7.875
-2.089 1.206 7.875
0.000 -2.412 7.875
Th Te Pd
2 1 1
Cartesian
0.000 0.000 0.000
0.000 0.000 4.504
0.000 0.000 18.006
0.000 0.000 14.037



LaSc2Cd2 PBE-GGA optimized geometry; energy relative to the elements = -9.1 kJ/mol of atoms; energy above the most stable polymorph in this dataset = 87.4 meV per atom
1.0
1.676 -11.691 0.000
1.676 11.691 0.000
0.000 0.000 3.290
La Sc Cd
1 2 2
Cartesian
0.000 0.000 0.000
1.676 7.216 0.000
1.676 -7.216 0.000
1.676 2.503 1.645
1.676 -2.503 1.645



Ta3MnAl PBE-GGA optimized geometry; energy relative to the elements = 66.5 kJ/mol of atoms; energy above the most stable polymorph in this dataset = 0.0 meV per atom
1.0
4.585 0.000 0.000
0.000 4.585 0.000
0.000 0.000 4.585
Ta Mn Al
3 1 1
Cartesian
0.000 0.000 2.292
0.000 2.292 0.000
2.292 0.000 0.000
0.000 0.000 0.000
2.292 2.292 2.292



RbSb2MoS PBE-GGA optimized geometry; raw formation energy = 0.03 eV per atom
1.0
5.495 0.000 0.000
0.000 5.495 0.000
0.000 0.000 4.686
Rb Sb Mo S
1 2 1 1
Cartesian
0.000 0.000 0.000
0.000 2.747 2.343
2.747 0.000 2.343
2.747 2.747 2.343
2.747 2.747 0.000



ZnAg4Ir PBE-GGA optimized geometry; energy relative to the elements = 50.4 kJ/mol of atoms
1.0
0.000 3.768 3.768
3.768 0.000 3.768
3.768 3.768 0.000
Zn Ag Ir
1 4 1
Cartesian
0.000 0.000 0.000
4.709 2.827 2.827
2.827 4.709 2.827
2.827 2.827 4.709
4.709 4.709 4.709
1.884 1.884 1.884